Computed, not measured: an optimized crystal structure of Ba2PrNpN4 at the PBE level of DFT.

a = 3.6797 Å, b = 6.3199 Å, c = 6.7643 Å
α = 108.65°, β = 90.00°, γ = 90.00°
Positions (direct):
N: 0.0000 0.7796 0.1764
N: 0.5000 0.8002 0.8201
N: 0.0000 0.2204 0.8236
N: 0.5000 0.1998 0.1799
Np: 0.0000 0.0000 0.0000
Ba: 0.5000 0.0000 0.5000
Ba: 0.0000 0.5000 0.5000
Pr: 0.5000 0.5000 0.0000

**VASP energy**: -62.15 eV for the cell shown
**Formation energy (no corrections)**: -21.00 kcal/mol of atoms
**Crystal system**: monoclinic
**Symmetry**: P2/m (10)
**Total moment**: 1.497 μB per cell



Computed, not measured: an optimized crystal structure of BaPrNpN3 at the PBE level of DFT.

a = 3.7380 Å, b = 10.2893 Å, c = 7.1495 Å
α = 105.87°, β = 90.00°, γ = 90.00°
Positions (direct):
N: 0.7500 0.7941 0.1548
N: 0.2500 0.8366 0.4953
N: 0.2500 0.5442 0.8303
N: 0.2500 0.2059 0.8452
N: 0.7500 0.4558 0.1697
N: 0.7500 0.1634 0.5047
Pr: 0.2500 0.6198 0.1800
Pr: 0.7500 0.3802 0.8200
Np: 0.2500 0.0727 0.5980
Np: 0.7500 0.9273 0.4020
Ba: 0.2500 0.2771 0.2350
Ba: 0.7500 0.7229 0.7650

**VASP energy**: -99.30 eV for the cell shown
**Formation energy (no corrections)**: -19.33 kcal/mol of atoms
**Crystal system**: monoclinic
**Symmetry**: P2_1/m (11)
**Total moment**: 0.524 μB per cell



Computed, not measured: an optimized crystal structure of BaPrNpN4 at the PBE level of DFT.

a = 4.2752 Å, b = 4.2752 Å, c = 7.2021 Å
α = 107.27°, β = 107.27°, γ = 90.00°
Positions (direct):
Pr: 0.3607 0.3607 0.7214
N: 0.1615 0.1615 0.3230
N: 0.4875 0.9875 0.9750
N: 0.8487 0.8487 0.6973
N: 0.9875 0.4875 0.9750
Ba: 0.6512 0.6512 0.3025
Np: 0.0029 0.0029 0.0058

**VASP energy**: -59.72 eV for the cell shown
**Formation energy (no corrections)**: -22.31 kcal/mol of atoms
**Crystal system**: tetragonal
**Symmetry**: I4mm (107)
**Total moment**: 0.000 μB per cell



Computed, not measured: an optimized crystal structure of Ba3Pr2NpN6 at the PBE level of DFT.

a = 6.3932 Å, b = 6.3932 Å, c = 6.7505 Å
α = 98.97°, β = 98.97°, γ = 119.84°
Positions (direct):
Pr: 0.3340 0.6660 0.0000
Pr: 0.6660 0.3340 0.0000
Ba: 0.5000 0.5000 0.5000
Ba: 0.1676 0.8324 0.5000
Ba: 0.8324 0.1676 0.5000
N: 0.9374 0.6525 0.8148
N: 0.3475 0.0626 0.1852
N: 0.7720 0.7720 0.1988
N: 0.6525 0.9374 0.8148
N: 0.2280 0.2280 0.8012
N: 0.0626 0.3475 0.1852
Np: 0.0000 0.0000 0.0000

**VASP energy**: -89.31 eV for the cell shown
**Formation energy (no corrections)**: -21.31 kcal/mol of atoms
**Crystal system**: monoclinic
**Symmetry**: C2/m (12)
**Total moment**: 0.556 μB per cell